[1]
This record from Alexandria describes an optimized crystal structure of Te2IrOs. The functional is PBE.

Properties
The calculation puts the total energy at -5.866 eV/atom. Its crystal system is orthorhombic. The energy above the most stable polymorph in this dataset comes out at 13.48 kcal/mol of atoms. For the uncorrected formation energy, the calculation gives 0.7271 eV/atom. Its space group is Imm2, No. 44. As for the total magnetization: 0.0 μB/f.u.

Cell lengths 5.9398, 5.9398, 5.9398 Å; angles 150.41, 131.11, 58.19 degrees
Last column: nearest neighbours and their distance in Å.
Element x y z (fractional)
Te 0.7278 0.2278 0.5000  4 Os 2.91, 2 Ir 2.98, 4 Te 3.03-3.22
Te 0.0282 0.0282 0.0000  2 Os 2.87, 4 Ir 2.93, 4 Te 3.03-3.22
Ir 0.4806 0.4806 0.0000  2 Os 2.72, 6 Te 2.93-2.98, 2 Ir 3.03
Os 0.2634 0.7634 0.5000  2 Ir 2.72, 6 Te 2.87-2.91, 2 Os 3.03

[2]
This record from Alexandria describes an optimized crystal structure of TeIr2Os. The functional is PBE.

Properties
The calculation puts the total energy at -7.301 eV/atom. Its crystal system is orthorhombic. For the uncorrected formation energy, the calculation gives 0.7227 eV/atom. Its space group is Pmmm, No. 47. As for the total magnetization: 0.0 μB/f.u.

Cell lengths 2.8880, 4.7531, 4.7790 Å; angles 90.00, 90.00, 90.00 degrees
Last column: nearest neighbours and their distance in Å.
Element x y z (fractional)
Ir 0.0000 0.0000 0.0000  6 Ir 2.78-2.89, 4 Os 2.79
Ir 0.5000 0.5000 0.0000  6 Ir 2.78-2.89, 4 Te 2.79
Te 0.0000 0.5000 0.5000  4 Os 2.78, 4 Ir 2.79, 2 Te 2.89
Os 0.5000 0.0000 0.5000  4 Te 2.78, 4 Ir 2.79, 2 Os 2.89

[3]
This record from Alexandria describes an optimized crystal structure of TeIr2Os. The functional is PBE.

Properties
The calculation puts the total energy at -7.509 eV/atom. Its crystal system is orthorhombic. For the uncorrected formation energy, the calculation gives 0.5141 eV/atom. Its space group is Pmmm, No. 47. As for the total magnetization: 0.0 μB/f.u.

Cell lengths 3.8693, 2.8938, 6.5943 Å; angles 63.98, 90.00, 90.00 degrees
Last column: nearest neighbours and their distance in Å.
Element x y z (fractional)
Os 0.5000 0.2500 0.2500  8 Ir 2.75, 2 Os 2.89, 2 Te 2.96
Te 0.5000 0.7500 0.7500  2 Te 2.89, 8 Ir 2.93, 2 Os 2.96
Ir 0.0000 0.5293 0.4710  3 Ir 2.62-2.89, 4 Os 2.75, 4 Te 2.93
Ir 0.0000 0.9707 0.0290  3 Ir 2.62-2.89, 4 Os 2.75, 4 Te 2.93

[4]
This record from Alexandria describes an optimized crystal structure of TeIr2Os. The functional is PBE.

Properties
The calculation puts the total energy at -7.455 eV/atom. Its crystal system is orthorhombic. For the uncorrected formation energy, the calculation gives 0.5680 eV/atom. Its space group is Pmm2, No. 25. As for the total magnetization: 0.0 μB/f.u.

Cell lengths 2.9200, 3.7901, 6.0165 Å; angles 90.00, 90.00, 90.00 degrees
Last column: nearest neighbours and their distance in Å.
Element x y z (fractional)
Ir 0.0000 0.0000 0.0218  1 Os 2.65, 6 Ir 2.79-2.92, 4 Te 2.88
Te 0.5000 0.5000 0.7558  6 Ir 2.88-3.03, 2 Te 2.92, 4 Os 2.97
Os 0.0000 0.0000 0.4623  5 Ir 2.65-2.68, 2 Os 2.92
Ir 0.5000 0.5000 0.2601  4 Os 2.68, 6 Ir 2.79-2.92, 1 Te 2.98

[5]
This record from Alexandria describes an optimized crystal structure of TeIr2Os. The functional is PBE.

Properties
The calculation puts the total energy at -7.270 eV/atom. Its crystal system is tetragonal. For the uncorrected formation energy, the calculation gives 0.7530 eV/atom. Its space group is I-42d, No. 122. As for the total magnetization: 0.0 μB/f.u.

Cell lengths 5.9831, 5.9831, 6.7995 Å; angles 63.90, 63.90, 90.00 degrees
Last column: nearest neighbours and their distance in Å.
Element x y z (fractional)
Ir 0.0946 0.6250 0.2500  2 Os 2.39, 2 Te 2.61
Os 0.0000 0.0000 0.0000  4 Ir 2.39
Te 0.5000 0.5000 0.0000  4 Ir 2.61
Ir 0.6554 0.1250 0.2500  2 Os 2.39, 2 Te 2.61
Os 0.7500 0.2500 0.5000  4 Ir 2.39
Ir 0.3750 0.3446 0.7500  2 Os 2.39, 2 Te 2.61
Ir 0.8750 0.9054 0.7500  2 Os 2.39, 2 Te 2.61
Te 0.2500 0.7500 0.5000  4 Ir 2.61

[6]
This record from Alexandria describes an optimized crystal structure of Te2IrOs. The functional is PBE.

Properties
The calculation puts the total energy at -5.572 eV/atom. Its crystal system is orthorhombic. The energy above the most stable polymorph in this dataset comes out at 20.27 kcal/mol of atoms. For the uncorrected formation energy, the calculation gives 1.0214 eV/atom. Its space group is Cmmm, No. 65. As for the total magnetization: 0.0 μB/f.u.

Cell lengths 3.0560, 3.0560, 9.4315 Å; angles 90.00, 90.00, 119.35 degrees
Last column: nearest neighbours and their distance in Å.
Element x y z (fractional)
Os 0.5000 0.5000 0.7500  4 Te 2.78, 6 Os 3.06-3.09
Te 0.0000 0.0000 0.5047  2 Os 2.78, 2 Ir 2.86, 6 Te 3.06-3.09
Te 0.0000 0.0000 0.9953  2 Os 2.78, 2 Ir 2.86, 6 Te 3.06-3.09
Ir 0.5000 0.5000 0.2500  4 Te 2.86, 6 Ir 3.06-3.09

[7]
This record from Alexandria describes an optimized crystal structure of TeIrOs2. The functional is PBE.

Properties
The calculation puts the total energy at -7.884 eV/atom. Its crystal system is tetragonal. For the uncorrected formation energy, the calculation gives 0.7320 eV/atom. Its space group is P4/mmm, No. 123. As for the total magnetization: 0.0 μB/f.u.

Cell lengths 3.9337, 4.0188, 4.0188 Å; angles 90.00, 90.00, 90.00 degrees
Last column: nearest neighbours and their distance in Å.
Element x y z (fractional)
Os 0.0000 0.5000 0.5000  4 Te 2.81, 4 Ir 2.81, 4 Os 2.84
Os 0.0000 0.0000 0.0000  4 Te 2.81, 4 Ir 2.81, 4 Os 2.84
Ir 0.5000 0.0000 0.5000  8 Os 2.81, 4 Te 2.84
Te 0.5000 0.5000 0.0000  8 Os 2.81, 4 Ir 2.84

[8]
This record from Alexandria describes an optimized crystal structure of Te8Ir2Os. The functional is PBE.

Properties
The calculation puts the total energy at -4.838 eV/atom. Its crystal system is trigonal. For the uncorrected formation energy, the calculation gives 0.0791 eV/atom. Its space group is P-3, No. 147. As for the total magnetization: 0.0 μB/f.u.

Cell lengths 5.6614, 7.7226, 7.7238 Å; angles 120.02, 90.01, 90.00 degrees
Last column: nearest neighbours and their distance in Å.
Element x y z (fractional)
Te 0.2793 0.0560 0.7573  1 Ir 2.58, 1 Os 2.65
Te 0.2290 0.6668 0.3335  1 Ir 2.63
Te 0.2792 0.7011 0.9439  1 Ir 2.58, 1 Os 2.65
Ir 0.2360 0.3332 0.6666  4 Te 2.58-2.63
Te 0.7710 0.3332 0.6665  1 Ir 2.63
Os 0.0000 0.0000 0.0000  6 Te 2.65
Te 0.7207 0.9440 0.2427  1 Ir 2.58, 1 Os 2.65
Te 0.7208 0.2989 0.0560  1 Ir 2.58, 1 Os 2.65
Te 0.2793 0.2429 0.2989  1 Ir 2.58, 1 Os 2.65
Ir 0.7640 0.6668 0.3334  4 Te 2.58-2.63
Te 0.7207 0.7571 0.7011  1 Ir 2.58, 1 Os 2.65